Entry 1:
First-principles (PBE) data for crystalline PmCu2H4 at its relaxed geometry, as listed in Alexandria via LeMat-Bulk.

The volume is 11.62 Å³/atom. The value obtained for the total DFT energy (no corrections) is -108.65 eV per cell. The density of states at the Fermi level is 0.1673 states/eV/atom. For the total moment, the calculation gives 0.00 μB per formula unit.

It has space group I-4m2 (No. 119), with a = 5.3901 Å, b = 5.3901 Å, c = 11.1960 Å, α = 90.00°, β = 90.00° and γ = 90.00°. The distinct sites, in fractional coordinates, are Pm at (0.0000, 0.0000, 0.0000), Pm at (0.0000, 0.5000, 0.2500), Cu at (0.0000, 0.2578, 0.6619) and H at (0.2209, 0.2680, 0.1176).

---

Entry 2:
First-principles (PBE) data for crystalline KTaAg2 at its relaxed geometry, as listed in Alexandria via LeMat-Bulk.

Its relative energy among the computed polymorphs is 132 meV/atom. The volume is 21.87 Å³/atom. For the energy of formation from the pure elements, the calculation gives 611.0 meV per atom. The value obtained for the total DFT energy (no corrections) is -16.21 eV per cell. The density of states at the Fermi level is 0.6550 states/eV/atom. For the total moment, the calculation gives 0.16 μB per formula unit.

It has space group P4mm (No. 99), with a = 2.9277 Å, b = 2.9277 Å, c = 10.2041 Å, α = 90.00°, β = 90.00° and γ = 90.00°. The distinct sites, in fractional coordinates, are K at (0.0000, 0.0000, 0.0000), Ta at (0.5000, 0.5000, 0.3125), Ag at (0.0000, 0.0000, 0.5187) and Ag at (0.5000, 0.5000, 0.7235).